VASP calculation (GGA-PBE) on a geometry-optimized Pm12NdIn6 structure.

Properties
- Space-group type: R-3, No. 148
- Total energy: -4.3466 eV/atom

a b c (Å): 8.3617 8.3617 8.3617
angles (deg): 89.09 89.09 89.09
Closest atoms and distances in Å follow each position.
Element x y z (fractional)
Pm  0.9244  0.8763  0.6148  3 Pm 3.07-3.39, 1 In 3.35
Pm  0.8763  0.6148  0.9244  3 Pm 3.07-3.39, 1 In 3.35
Pm  0.4712  0.5670  0.1923  4 In 3.31-3.43, 4 Pm 3.45-3.49
Pm  0.5288  0.4330  0.8077  4 In 3.31-3.43, 4 Pm 3.45-3.49
Pm  0.8077  0.5288  0.4330  4 In 3.31-3.43, 4 Pm 3.45-3.49
Pm  0.6148  0.9244  0.8763  3 Pm 3.07-3.39, 1 In 3.35
Pm  0.1237  0.3852  0.0756  3 Pm 3.07-3.39, 1 In 3.35
Pm  0.1923  0.4712  0.5670  4 In 3.31-3.43, 4 Pm 3.45-3.49
Pm  0.5670  0.1923  0.4712  4 In 3.31-3.43, 4 Pm 3.45-3.49
Pm  0.0756  0.1237  0.3852  3 Pm 3.07-3.39, 1 In 3.35
Pm  0.4330  0.8077  0.5288  4 In 3.31-3.43, 4 Pm 3.45-3.49
Pm  0.3852  0.0756  0.1237  3 Pm 3.07-3.39, 1 In 3.35
In  0.2774  0.1224  0.7411  1 Nd 3.31, 7 Pm 3.31-3.45, 2 In 3.52
In  0.8776  0.2589  0.7226  1 Nd 3.31, 7 Pm 3.31-3.45, 2 In 3.52
In  0.1224  0.7411  0.2774  1 Nd 3.31, 7 Pm 3.31-3.45, 2 In 3.52
In  0.2589  0.7226  0.8776  1 Nd 3.31, 7 Pm 3.31-3.45, 2 In 3.52
In  0.7226  0.8776  0.2589  1 Nd 3.31, 7 Pm 3.31-3.45, 2 In 3.52
In  0.7411  0.2774  0.1224  1 Nd 3.31, 7 Pm 3.31-3.45, 2 In 3.52
Nd  0.0000  0.0000  0.0000  6 In 3.31, 6 Pm 3.47

VASP calculation (GGA-PBE) on a geometry-optimized Al2CoIr structure.

Properties
- Space-group type: C2/m, No. 12
- Offset from the most stable computed form: 335 meV per atom
- Total energy: -6.3122 eV/atom

a b c (Å): 4.3134 4.3134 4.7599
angles (deg): 78.58 78.58 38.25
Closest atoms and distances in Å follow each position.
Element x y z (fractional)
Ir  0.2500  0.2500  0.2500  6 Al 2.57-2.59, 4 Co 2.77, 2 Ir 2.83
Co  0.7500  0.7500  0.7500  6 Al 2.53-2.56, 4 Ir 2.77, 2 Co 2.83
Al  0.4970  0.4970  0.5091  3 Co 2.53-2.56, 3 Ir 2.57-2.59, 4 Al 2.70-2.83
Al  0.0030  0.0030  0.9909  3 Co 2.53-2.56, 3 Ir 2.57-2.59, 4 Al 2.70-2.83

VASP calculation (GGA-PBE) on a geometry-optimized Ba2LiAgIr structure.

Properties
- Space-group type: P4/mmm, No. 123
- Total energy: -3.4834 eV/atom

a b c (Å): 6.0033 6.0033 4.8446
angles (deg): 90.00 90.00 90.00
Closest atoms and distances in Å follow each position.
Element x y z (fractional)
Ag  0.5000  0.5000  0.5000  8 Ba 3.86, 4 Li 4.24
Ba  0.5000  0.0000  0.0000  2 Ir 3.00
Ba  0.0000  0.5000  0.0000  2 Ir 3.00
Li  0.0000  0.0000  0.5000  2 Ir 2.42
Ir  0.0000  0.0000  0.0000  2 Li 2.42

VASP calculation (GGA-PBE) on a geometry-optimized CsSrTl2Au structure.

Properties
- Space-group type: P4/mmm, No. 123
- Total energy: -2.1948 eV/atom

a b c (Å): 5.8135 6.0002 5.8135
angles (deg): 90.00 90.00 90.00
Closest atoms and distances in Å follow each position.
Element x y z (fractional)
Au  0.0000  0.0000  0.0000  4 Tl 2.91, 2 Sr 3.00
Tl  0.5000  0.0000  0.0000  2 Au 2.91
Tl  0.0000  0.0000  0.5000  2 Au 2.91
Cs  0.5000  0.5000  0.5000  4 Sr 4.11, 8 Tl 4.18
Sr  0.0000  0.5000  0.0000  2 Au 3.00

VASP calculation (GGA-PBE) on a geometry-optimized CoSbMo2 structure.

Properties
- Raw formation energy: 0.215 eV/atom
- Space-group type: P4mm, No. 99
- Total energy: -8.0075 eV/atom

a b c (Å): 3.2799 3.2799 5.9253
angles (deg): 90.00 90.00 90.00
Closest atoms and distances in Å follow each position.
Element x y z (fractional)
Sb  0.0000  0.0000  0.5194  4 Co 2.70, 5 Mo 2.84-2.89
Mo  0.5000  0.5000  0.2296  4 Mo 2.69, 1 Co 2.83, 4 Sb 2.89
Mo  0.0000  0.0000  0.9982  4 Mo 2.69, 4 Co 2.74, 1 Sb 2.84
Co  0.5000  0.5000  0.7527  4 Sb 2.70, 5 Mo 2.74-2.83

VASP calculation (GGA-PBE) on a geometry-optimized V2CuNi structure.

Properties
- Space-group type: P4/mmm, No. 123
- Total energy: -7.0500 eV/atom

a b c (Å): 3.8377 3.5732 3.5732
angles (deg): 90.00 90.00 90.00
Closest atoms and distances in Å follow each position.
Element x y z (fractional)
Ni  0.5000  0.0000  0.0000  4 Cu 2.53, 8 V 2.62
V  0.0000  0.0000  0.5000  4 V 2.53, 4 Cu 2.62, 4 Ni 2.62
V  0.0000  0.5000  0.0000  4 V 2.53, 4 Cu 2.62, 4 Ni 2.62
Cu  0.5000  0.5000  0.5000  4 Ni 2.53, 8 V 2.62

VASP calculation (GGA-PBE) on a geometry-optimized Tm6PdPt5 structure.

Properties
- Space-group type: Immm, No. 71
- Total energy: -6.4225 eV/atom

a b c (Å): 4.8875 6.8666 8.4608
angles (deg): 113.94 106.79 90.00
Closest atoms and distances in Å follow each position.
Element x y z (fractional)
Pt  0.3299  0.3307  0.6613  8 Tm 2.95-3.01
Pt  0.6701  0.6693  0.3387  8 Tm 2.95-3.01
Pt  0.6620  0.1620  0.3240  8 Tm 2.94-3.03
Pt  0.0000  0.5000  0.0000  8 Tm 2.97-2.99
Pt  0.3380  0.8380  0.6760  8 Tm 2.94-3.03
Tm  0.1676  0.4190  0.3349  7 Pt 2.95-3.03, 1 Pd 3.00
Tm  0.5000  0.7469  0.0000  6 Pt 2.94-3.01, 2 Pd 3.00
Tm  0.8324  0.5810  0.6651  7 Pt 2.95-3.03, 1 Pd 3.00
Tm  0.1675  0.9159  0.3349  7 Pt 2.95-3.03, 1 Pd 3.00
Tm  0.5000  0.2531  0.0000  6 Pt 2.94-3.01, 2 Pd 3.00
Tm  0.8325  0.0841  0.6651  7 Pt 2.95-3.03, 1 Pd 3.00
Pd  0.0000  0.0000  0.0000  8 Tm 3.00

VASP calculation (GGA-PBE) on a geometry-optimized K2ScF5 structure.

Properties
- Raw formation energy: -3.387 eV/atom
- Space-group type: P4/mmm, No. 123
- Offset from the most stable computed form: 27 meV per atom
- Total energy: -5.6220 eV/atom

a b c (Å): 4.0698 6.2051 6.2051
angles (deg): 90.00 90.00 90.00
Closest atoms and distances in Å follow each position.
Element x y z (fractional)
K  0.5000  0.5000  0.0000  10 F 3.00-3.10
K  0.5000  0.0000  0.5000  10 F 3.00-3.10
F  0.0000  0.2287  0.2287  1 Sc 2.01
F  0.0000  0.7713  0.7713  1 Sc 2.01
F  0.0000  0.2287  0.7713  1 Sc 2.01
F  0.5000  0.0000  0.0000  2 Sc 2.03
F  0.0000  0.7713  0.2287  1 Sc 2.01
Sc  0.0000  0.0000  0.0000  6 F 2.01-2.03

VASP calculation (GGA-PBE) on a geometry-optimized Cs2KNaAs structure.

Properties
- Space-group type: P4/mmm, No. 123
- Offset from the most stable computed form: 0 meV per atom
- Total energy: -1.8560 eV/atom

a b c (Å): 7.3616 7.3616 5.7136
angles (deg): 90.00 90.00 90.00
Closest atoms and distances in Å follow each position.
Element x y z (fractional)
K  0.5000  0.5000  0.5000  8 Cs 4.66, 4 Na 5.21
As  0.0000  0.0000  0.0000  2 Na 2.86
Cs  0.0000  0.5000  0.0000  2 As 3.68
Cs  0.5000  0.0000  0.0000  2 As 3.68
Na  0.0000  0.0000  0.5000  2 As 2.86

VASP calculation (GGA-PBE) on a geometry-optimized TbLuScZn structure.

Properties
- Space-group type: F-43m, No. 216
- Total energy: -4.1886 eV/atom

a b c (Å): 5.1772 5.1772 5.1772
angles (deg): 60.00 60.00 60.00
Closest atoms and distances in Å follow each position.
Element x y z (fractional)
Zn  0.5000  0.5000  0.5000  4 Lu 3.17, 4 Tb 3.17
Lu  0.2500  0.2500  0.2500  4 Sc 3.17, 4 Zn 3.17
Tb  0.7500  0.7500  0.7500  4 Zn 3.17, 4 Sc 3.17
Sc  0.0000  0.0000  0.0000  4 Tb 3.17, 4 Lu 3.17

VASP calculation (GGA-PBE) on a geometry-optimized LaCe2Ir structure.

Properties
- Space-group type: P2_1/m, No. 11
- Offset from the most stable computed form: 0 meV per atom
- Total energy: -6.8362 eV/atom

a b c (Å): 3.7984 6.1710 9.7905
angles (deg): 90.00 90.00 107.90
Closest atoms and distances in Å follow each position.
Element x y z (fractional)
Ce  0.8598  0.7185  0.5563  2 Ir 2.79
Ce  0.1402  0.2815  0.4437  2 Ir 2.79
Ce  0.1402  0.2815  0.0563  2 Ir 2.79
Ce  0.8598  0.7185  0.9437  2 Ir 2.79
Ir  0.2947  0.5879  0.7500  4 Ce 2.79
Ir  0.7053  0.4121  0.2500  4 Ce 2.79
La  0.4193  0.8404  0.2500  3 Ir 3.15-3.36
La  0.5807  0.1596  0.7500  3 Ir 3.15-3.36

VASP calculation (GGA-PBE) on a geometry-optimized PdC structure.

Properties
- Space-group type: P6_3mc, No. 186
- Offset from the most stable computed form: 421 meV per atom
- Total energy: -5.9668 eV/atom

a b c (Å): 3.2464 3.2464 5.7883
angles (deg): 90.00 90.00 120.00
Closest atoms and distances in Å follow each position.
Element x y z (fractional)
Pd  0.6667  0.3333  0.2239  4 C 2.03-2.12
Pd  0.3333  0.6667  0.7239  4 C 2.03-2.12
C  0.3333  0.6667  0.3581  4 Pd 2.03-2.12
C  0.6667  0.3333  0.8581  4 Pd 2.03-2.12